[1]
NpInFe2O6: relaxed, PBE with a Hubbard U.

## Properties
space group: P1
DOS(E_F): 0.75 states/eV/atom
total magnetic moment: 6.00 μB/f.u.
uncorrected energy: -7.599 eV per atom
V: 12.87 A^3/atom

Cell: 5.480 5.485 5.807 Å, 62.77 62.94 60.19°
Fractional positions:
1 Np 0.000 0.000 0.000
2 In 0.497 0.494 0.514
3 Fe 0.205 0.209 0.381
4 Fe 0.710 0.684 0.897
5 O 0.105 0.390 0.699
6 O 0.272 0.909 0.220
7 O 0.406 0.784 0.722
8 O 0.602 0.290 0.207
9 O 0.794 0.092 0.721
10 O 0.893 0.604 0.201

=====

[2]
NpIn2FeO6: relaxed, PBE with a Hubbard U.

## Properties
space group: P1
DOS(E_F): 1.05 states/eV/atom
total magnetic moment: 6.94 μB/f.u.
uncorrected energy: -7.232 eV per atom
V: 13.58 A^3/atom

Cell: 5.576 5.629 5.904 Å, 90.98 117.25 119.67°
Fractional positions:
1 Np 0.000 0.000 0.000
2 In 0.420 0.709 0.132
3 In 0.425 0.210 0.632
4 Fe 0.006 0.505 0.500
5 O 0.197 0.404 0.309
6 O 0.208 0.306 0.808
7 O 0.501 0.106 0.302
8 O 0.502 0.902 0.804
9 O 0.905 0.802 0.304
10 O 0.907 0.596 0.795